A relaxed structure of Ho2TlCd. Source: Alexandria via LeMat-Bulk, functional PBE-GGA.

Output
As for the spin magnetization: 0.00 μB per cell. The electronic total energy is -13.75 eV for the cell shown.

Cell lengths 3.765, 3.765, 7.458 Å; angles 90.00, 90.00, 90.00 degrees
Positions (direct):
Tl  0.500  0.500  0.000
Ho  0.000  0.000  0.744
Ho  0.000  0.000  0.256
Cd  0.500  0.500  0.500